A plane-wave DFT calculation with PBE-GGA was carried out for crystalline CeTeCl at its relaxed geometry.

Cell lengths 7.9587, 4.4432, 9.4104 Å; angles 90.00, 90.00, 90.00 degrees
Space group Pnma (No. 62)
Inequivalent atoms, fractional coordinates:
Ce1 0.2369 0.2500 0.1328 x4
Te1 0.0367 0.7500 0.3330 x4
Cl1 0.1362 0.7500 0.9407 x4

Results
**Density of states at the Fermi level**: 2.421 states/eV/atom
**Total moment**: 4.00 Bohr magnetons per cell
**Offset from the most stable computed form**: 0 meV per atom